(1)
{"formula": "Li2YEr2Tl2", "functional": "PBE", "state": "relaxed", "ef_ev_per_atom": -0.18, "lattice": [[-0.759, -1.853, 4.361], [-0.702, -4.719, 0.513], [8.285, -3.385, 2.644]], "species": ["Li", "Er", "Tl", "Li", "Er", "Tl", "Y"], "frac_coords": [[0.601, 0.601, 0.198], [0.872, 0.872, 0.383], [0.261, 0.261, 0.217], [0.399, 0.399, 0.802], [0.128, 0.128, 0.617], [0.739, 0.739, 0.783], [0.000, 0.000, 0.000]]}

(2)
{"formula": "MgTeH", "functional": "PBE", "state": "relaxed", "final_energy_ry_per_atom": -0.2046, "lattice": [[-4.509, -1.400, 1.009], [0.166, -3.162, -3.645], [1.734, -3.402, 3.030]], "species": ["Te", "H", "H", "Mg", "Mg", "Te"], "frac_coords": [[0.000, 0.500, 0.176], [0.000, 0.500, 0.719], [0.500, 0.000, 0.281], [0.500, 0.500, 0.500], [0.000, 0.000, 0.500], [0.500, 0.000, 0.824]]}

(3)
{"formula": "LiPrPuAu", "functional": "PBE", "state": "relaxed", "ef_ev_per_atom": -0.14, "lattice": [[-0.227, 4.426, -2.766], [-4.628, 1.920, -1.482], [-1.844, 4.364, 2.202]], "species": ["Pr", "Pu", "Au", "Li"], "frac_coords": [[0.750, 0.750, 0.750], [0.250, 0.250, 0.250], [0.000, 0.000, 0.000], [0.500, 0.500, 0.500]]}

(4)
{"formula": "Pm6Sm8Al", "functional": "PBE", "state": "relaxed", "ef_ev_per_atom": 0.08, "lattice": [[-2.092, 4.242, -4.375], [-8.864, -1.048, 3.222], [5.653, 6.643, 3.738]], "species": ["Sm", "Sm", "Sm", "Pm", "Al", "Pm", "Sm", "Pm", "Pm", "Sm", "Sm", "Sm", "Sm", "Pm", "Pm"], "frac_coords": [[0.194, 0.781, 0.042], [0.194, 0.261, 0.219], [0.834, 0.333, 0.667], [0.319, 0.094, 0.452], [0.500, 0.000, 0.000], [0.319, 0.358, 0.906], [0.806, 0.219, 0.958], [0.681, 0.642, 0.094], [0.681, 0.906, 0.548], [0.166, 0.667, 0.333], [0.806, 0.739, 0.781], [0.194, 0.958, 0.739], [0.806, 0.042, 0.261], [0.681, 0.452, 0.358], [0.319, 0.548, 0.642]]}

(5)
{"formula": "Gd3GaO", "functional": "PBE", "state": "relaxed", "e_form_raw_ev_per_atom": -1.381, "lattice": [[-1.513, 4.071, -1.992], [-4.446, -0.923, 1.488], [0.883, 2.325, 4.080]], "species": ["Ga", "Gd", "O", "Gd", "Gd"], "frac_coords": [[0.500, 0.500, 0.500], [0.500, 0.000, 0.000], [0.000, 0.000, 0.000], [0.000, 0.500, 0.000], [0.000, 0.000, 0.500]]}

(6)
{"formula": "KNiAg", "functional": "PBE", "state": "relaxed", "e_above_lowest_polymorph_mev_per_atom": 241, "ef_ev_per_atom": 0.65, "lattice": [[5.083, 0.000, 0.000], [-2.541, 4.402, 0.000], [0.000, 0.000, 2.890]], "species": ["Ag", "K", "Ni"], "frac_coords": [[0.000, 0.000, 0.845], [0.667, 0.333, 0.337], [0.333, 0.667, 0.818]]}

(7)
{"formula": "Cs2AgAu2", "functional": "PBE", "state": "relaxed", "e_above_lowest_polymorph_mev_per_atom": 372, "ef_ev_per_atom": 0.17, "lattice": [[-7.600, -2.195, 6.482], [6.527, -5.237, 5.880], [0.774, 3.198, 1.990]], "species": ["Au", "Cs", "Au", "Cs", "Au", "Ag", "Ag", "Cs", "Cs", "Au"], "frac_coords": [[0.656, 0.844, 0.500], [0.857, 0.643, 0.000], [0.344, 0.156, 0.500], [0.643, 0.143, 0.000], [0.844, 0.344, 0.500], [0.000, 0.000, 0.000], [0.500, 0.500, 0.000], [0.143, 0.357, 0.000], [0.357, 0.857, 0.000], [0.156, 0.656, 0.500]]}

(8)
{"formula": "BaZr3", "functional": "PBE", "state": "relaxed", "e_above_lowest_polymorph_mev_per_atom": 169, "ef_ev_per_atom": 0.48, "lattice": [[3.940, -5.551, 0.000], [3.940, 5.551, 0.000], [0.000, 0.000, 5.234]], "species": ["Zr", "Ba", "Zr", "Zr", "Zr", "Zr", "Zr", "Ba"], "frac_coords": [[0.151, 0.849, 0.750], [0.624, 0.376, 0.750], [0.849, 0.151, 0.250], [0.707, 0.910, 0.750], [0.090, 0.293, 0.750], [0.910, 0.707, 0.250], [0.293, 0.090, 0.250], [0.376, 0.624, 0.250]]}

(9)
{"formula": "Nb2CdPt3", "functional": "PBE", "state": "relaxed", "ef_ev_per_atom": -0.59, "lattice": [[-0.154, 2.585, -1.259], [-1.596, 0.972, 2.191], [10.167, 3.464, 5.870]], "species": ["Nb", "Pt", "Nb", "Pt", "Cd", "Pt"], "frac_coords": [[0.500, 0.500, 0.833], [0.000, 0.000, 0.324], [0.500, 0.500, 0.167], [0.000, 0.000, 0.000], [0.500, 0.500, 0.500], [0.000, 0.000, 0.676]]}

(10)
{"formula": "TiInSn", "functional": "PBE", "state": "relaxed", "e_above_lowest_polymorph_mev_per_atom": 0, "ef_ev_per_atom": 0.07, "lattice": [[3.152, 0.000, 0.000], [0.000, 7.785, 0.931], [-1.576, -2.727, 5.350]], "species": ["Ti", "Sn", "In", "Sn", "Ti", "In"], "frac_coords": [[0.649, 0.490, 0.299], [0.577, 0.804, 0.154], [0.159, 0.168, 0.318], [0.423, 0.196, 0.846], [0.351, 0.510, 0.701], [0.841, 0.832, 0.682]]}

(11)
{"formula": "BaNa5Hg3", "functional": "PBE", "state": "relaxed", "ef_ev_per_atom": -0.20, "lattice": [[-5.271, -0.796, 0.078], [3.347, -3.593, 7.282], [-1.677, 11.741, 6.563]], "species": ["Hg", "Na", "Ba", "Hg", "Hg", "Na", "Na", "Na", "Na", "Hg", "Ba", "Na", "Na", "Hg", "Na", "Na", "Hg", "Na"], "frac_coords": [[0.068, 0.136, 0.750], [0.564, 0.129, 0.634], [0.148, 0.296, 0.250], [0.932, 0.864, 0.250], [0.381, 0.762, 0.580], [0.436, 0.871, 0.366], [0.803, 0.606, 0.068], [0.803, 0.606, 0.432], [0.436, 0.871, 0.134], [0.381, 0.762, 0.920], [0.852, 0.704, 0.750], [0.197, 0.394, 0.932], [0.197, 0.394, 0.568], [0.619, 0.238, 0.420], [0.564, 0.129, 0.866], [0.000, 0.000, 0.000], [0.619, 0.238, 0.080], [0.000, 0.000, 0.500]]}

(12)
{"formula": "Fe3Se", "functional": "PBE", "state": "relaxed", "e_above_lowest_polymorph_mev_per_atom": 36, "e_form_raw_ev_per_atom": 0.199, "lattice": [[-1.841, 1.841, 7.735], [1.841, -1.841, 7.735], [1.841, 1.841, -7.735]], "species": ["Se", "Fe", "Fe", "Fe", "Fe", "Fe", "Se", "Fe"], "frac_coords": [[0.373, 0.373, 0.000], [0.250, 0.750, 0.500], [0.121, 0.121, 0.000], [0.750, 0.250, 0.500], [0.500, 0.000, 0.500], [0.000, 0.500, 0.500], [0.627, 0.627, 0.000], [0.879, 0.879, 0.000]]}